1.
Compound: K2Rb4InBi2
Source: the Alexandria database
Functional: PBE
Structure: relaxed

Lattice parameters (Å, degrees): 16.3712 10.7937 5.8506 90.00 110.24 90.00
Closest atoms and distances in Å follow each position.
Space group C2/m (No. 12)
Asymmetric unit:
K  0.1405  0.0000  0.1454  2 Bi 3.77-3.78, 2 Rb 4.09
Rb  0.1368  0.2924  0.6405  3 Bi 3.82-3.99, 1 K 4.09, 1 Rb 4.20, 2 In 4.21-4.27
In  0.0000  0.5000  0.0000  2 Bi 3.13
Bi  0.2038  0.5000  0.2047  1 In 3.13

calculated density = 3.26 g cm⁻³
ΔE_f = -0.183 eV per atom

=====

2.
Compound: Sm3SbP2
Source: the Alexandria database
Functional: PBE
Structure: relaxed

Lattice parameters (Å, degrees): 4.7385 13.8896 10.0170 90.00 90.00 90.00
Closest atoms and distances in Å follow each position.
Space group Cmcm (No. 63)
Asymmetric unit:
Sm  0.0000  0.0985  0.2500  4 P 2.65-2.85
Sm  0.0000  0.3787  0.0569  3 P 2.69-2.96
Sb  0.0000  0.2313  0.7500  8 Sm 3.35-3.69, 1 P 3.55
P  0.0000  0.0000  0.0000  6 Sm 2.85-2.96
P  0.0000  0.4871  0.7500  4 Sm 2.65-2.69

calculated density = 6.40 g cm⁻³
uncorrected formation energy = -1.0220 eV/atom

=====

3.
Compound: PtAu2
Source: the Alexandria database
Functional: PBE
Structure: relaxed

Lattice parameters (Å, degrees): 7.6190 7.6190 7.6190 90.00 90.00 90.00
Closest atoms and distances in Å follow each position.
Space group Fd-3m (No. 227, origin choice 2)
Asymmetric unit:
Pt  0.1250  0.1250  0.1250  12 Au 3.16, 4 Pt 3.30
Au  0.0000  0.0000  0.5000  6 Au 2.69

calculated density = 17.69 g cm⁻³
E above lowest polymorph = 0.3969 eV/atom
ΔE_f = 0.423 eV per atom

=====

4.
Compound: Li2ZnPt
Source: the Alexandria database
Functional: PBE
Structure: relaxed

Lattice parameters (Å, degrees): 9.2403 2.9050 4.4100 90.00 107.67 90.00
Closest atoms and distances in Å follow each position.
Space group C2/m (No. 12)
Asymmetric unit:
Li  0.2460  0.0000  0.2390  4 Li 2.58-2.70, 3 Pt 2.63-2.85, 3 Zn 2.70-2.84
Zn  0.0000  0.0000  0.5000  4 Pt 2.64, 6 Li 2.70-2.84, 2 Zn 2.90
Pt  0.0000  0.5000  0.0000  6 Li 2.63-2.85, 4 Zn 2.64, 2 Pt 2.90

calculated density = 8.08 g cm⁻³
ΔE_f = -0.477 eV per atom

=====

5.
Compound: SmSnHg
Source: the Alexandria database
Functional: PBE
Structure: relaxed

Lattice parameters (Å, degrees): 4.7670 15.7969 4.2885 90.00 90.00 90.00
Closest atoms and distances in Å follow each position.
Space group Cmcm (No. 63)
Asymmetric unit:
Sm  0.0000  0.0983  0.2500  6 Sn 3.24-3.57, 4 Hg 3.25-3.35
Sn  0.0000  0.4299  0.2500  2 Sn 3.08, 4 Sm 3.24, 2 Hg 3.42
Hg  0.0000  0.2616  0.7500  4 Hg 3.23, 4 Sm 3.25-3.35, 2 Sn 3.42

calculated density = 9.66 g cm⁻³
ΔE_f = -0.526 eV per atom

=====

6.
Compound: Sr2Li7Hg
Source: the Alexandria database
Functional: PBE
Structure: relaxed

Lattice parameters (Å, degrees): 4.9105 4.9105 11.1355 90.00 90.00 90.00
Closest atoms and distances in Å follow each position.
Space group P-4m2 (No. 115)
Asymmetric unit:
Sr  0.0000  0.5000  0.2350  2 Hg 3.59, 15 Li 3.59-3.84
Li  0.0000  0.0000  0.0000  4 Li 2.74
Li  0.0000  0.0000  0.5000  4 Li 2.89
Li  0.0000  0.5000  0.6376  5 Li 2.83-2.89
Li  0.0000  0.5000  0.8914  2 Hg 2.74, 3 Li 2.74-2.83
Li  0.5000  0.5000  0.5000  4 Li 2.89
Hg  0.5000  0.5000  0.0000  4 Li 2.74

calculated density = 2.62 g cm⁻³
ΔE_f = -0.062 eV per atom

=====

7.
Compound: SnIN2Cl
Source: the Alexandria database
Functional: PBE
Structure: relaxed

Lattice parameters (Å, degrees): 4.0890 4.0890 7.2454 90.00 90.00 90.00
Closest atoms and distances in Å follow each position.
Space group P4/mmm (No. 123)
Asymmetric unit:
Sn  0.0000  0.0000  0.0000  4 N 2.04
I  0.0000  0.0000  0.5000  4 Cl 2.89
N  0.0000  0.5000  0.0000  2 Sn 2.04
Cl  0.5000  0.5000  0.5000  4 I 2.89

calculated density = 4.24 g cm⁻³
E above lowest polymorph = 0.0000 eV/atom
uncorrected formation energy = 1.3238 eV/atom

=====

8.
Compound: RbMn2BiBr8
Source: the Alexandria database
Functional: PBE
Structure: relaxed

Lattice parameters (Å, degrees): 6.8749 6.8749 33.0586 90.00 90.00 120.00
Closest atoms and distances in Å follow each position.
Space group R32 (No. 155, hexagonal axes)
Asymmetric unit:
Rb  0.0000  0.0000  0.0000  12 Br 3.99-4.26
Mn  0.0000  0.0000  0.2472  4 Br 2.42-2.52
Bi  0.0000  0.0000  0.5000  6 Br 2.93
Br  0.0000  0.0000  0.3203  1 Mn 2.42
Br  0.0008  0.3498  0.2238  1 Mn 2.52

calculated density = 3.84 g cm⁻³
uncorrected formation energy = -0.8734 eV/atom